1.
The following is a DFT calculation (PBE-GGA) of a relaxed KLaMg2Os crystal.

Properties
Its raw total energy is -3.976 eV/atom. The total magnetization is 0.0 μB/cell. The space-group type is P4/mmm.

Cell lengths 5.422, 5.422, 5.217 Å; angles 90.00, 90.00, 90.00 degrees
Atoms (fractional coordinates):
K 0.500 0.500 0.500
Os 0.000 0.000 0.000
Mg 0.000 0.500 0.000
Mg 0.500 0.000 0.000
La 0.000 0.000 0.500

***

2.
The following is a DFT calculation (PBE-GGA) of a relaxed KLa2MgRh crystal.

Properties
Its raw total energy is -4.170 eV/atom. The total magnetization is 0.0 μB/cell. The space-group type is P4/mmm.

Cell lengths 5.592, 5.592, 5.528 Å; angles 90.00, 90.00, 90.00 degrees
Atoms (fractional coordinates):
K 0.500 0.500 0.500
Rh 0.000 0.000 0.000
Mg 0.000 0.000 0.500
La 0.000 0.500 0.000
La 0.500 0.000 0.000

***

3.
The following is a DFT calculation (PBE-GGA) of a relaxed KLa2MgRu crystal.

Properties
Its raw total energy is -4.400 eV/atom. The total magnetization is 0.0 μB/cell. The space-group type is P4/mmm.

Cell lengths 5.485, 5.485, 5.639 Å; angles 90.00, 90.00, 90.00 degrees
Atoms (fractional coordinates):
Ru 0.000 0.000 0.000
K 0.500 0.500 0.500
Mg 0.000 0.000 0.500
La 0.000 0.500 0.000
La 0.500 0.000 0.000

***

4.
The following is a DFT calculation (PBE-GGA) of a relaxed KLaMgSe3 crystal.

Properties
The total magnetization is 0.0 μB/cell. The space-group type is P2_1/m. For the formation energy from raw total energies, the calculation gives -1.59 eV per atom.

Cell lengths 4.417, 9.248, 10.212 Å; angles 103.81, 90.00, 90.00 degrees
Atoms (fractional coordinates):
K 0.250 0.189 0.208
K 0.750 0.811 0.792
La 0.250 0.665 0.147
La 0.750 0.335 0.853
Mg 0.250 0.083 0.603
Mg 0.750 0.917 0.397
Se 0.750 0.889 0.143
Se 0.250 0.111 0.857
Se 0.250 0.803 0.469
Se 0.750 0.197 0.531
Se 0.750 0.447 0.152
Se 0.250 0.553 0.848

***

5.
The following is a DFT calculation (PBE-GGA) of a relaxed K3LaMn crystal.

Properties
Its raw total energy is -2.415 eV/atom. The total magnetization is 1.6 μB/cell. The space-group type is Pm-3m.

Cell lengths 6.278, 6.278, 6.278 Å; angles 90.00, 90.00, 90.00 degrees
Atoms (fractional coordinates):
K 0.000 0.500 0.000
K 0.000 0.000 0.500
K 0.500 0.000 0.000
Mn 0.000 0.000 0.000
La 0.500 0.500 0.500

***

6.
The following is a DFT calculation (PBE-GGA) of a relaxed KLaMn4 crystal.

Properties
Its raw total energy is -6.380 eV/atom. The total magnetization is 13.9 μB/cell. The space-group type is F-43m.

Cell lengths 5.699, 5.699, 5.699 Å; angles 60.00, 60.00, 60.00 degrees
Atoms (fractional coordinates):
K 0.250 0.250 0.250
La 0.000 0.000 0.000
Mn 0.108 0.631 0.631
Mn 0.631 0.631 0.631
Mn 0.631 0.108 0.631
Mn 0.631 0.631 0.108

***

7.
The following is a DFT calculation (PBE-GGA) of a relaxed KLa4Mn crystal.

Properties
Its raw total energy is -4.330 eV/atom. The total magnetization is 4.2 μB/cell. The space-group type is F-43m.

Cell lengths 6.815, 6.815, 6.815 Å; angles 60.00, 60.00, 60.00 degrees
Atoms (fractional coordinates):
K 0.000 0.000 0.000
La 0.855 0.382 0.382
La 0.382 0.382 0.855
La 0.382 0.855 0.382
La 0.382 0.382 0.382
Mn 0.750 0.750 0.750

***

8.
The following is a DFT calculation (PBE-GGA) of a relaxed KLaMnN3 crystal.

Properties
The total magnetization is 2.0 μB/cell. The space-group type is C2/m. For the formation energy from raw total energies, the calculation gives -0.33 eV per atom.

Cell lengths 3.776, 7.085, 8.015 Å; angles 105.32, 90.00, 105.45 degrees
Atoms (fractional coordinates):
K 0.365 0.729 0.927
K 0.635 0.271 0.073
La 0.657 0.313 0.587
La 0.343 0.687 0.413
Mn 0.006 0.012 0.313
Mn 0.994 0.988 0.687
N 0.877 0.754 0.203
N 0.848 0.697 0.633
N 0.512 0.024 0.332
N 0.152 0.303 0.367
N 0.488 0.976 0.668
N 0.123 0.246 0.797